The following is a DFT calculation (PBE+U) of crystalline CrSN2F at its relaxed geometry. Values from VASP.

## Properties
Magnetic moment: 1.1 μB/f.u.
SG: P4/mmm (123)
Electronic total energy: -20.71 eV/cell

Geometry as Quantum ESPRESSO input:
```
&SYSTEM
  ibrav = 0, nat = 5, ntyp = 4
/
ATOMIC_SPECIES
N 14.01 N.upf
Cr 52.00 Cr.upf
F 19.00 F.upf
S 32.06 S.upf
CELL_PARAMETERS angstrom
-3.284 2.051 -0.922
-2.231 -3.180 0.870
-0.291 1.249 3.818
ATOMIC_POSITIONS crystal
N 0.000 0.500 0.000
Cr 0.500 0.500 0.500
F 0.000 0.000 0.000
N 0.500 0.000 0.000
S 0.000 0.000 0.500
```